No. 1
DFT (PBE-GGA) results for a relaxed HoMnPH crystal.

## Properties
total magnetization = 3.4 μB/cell
electronic total energy = -52.3 eV/cell
SG = P4/nmm (129)

Cell: 3.6946 3.6946 7.8253 Å, 90.00 90.00 90.00°
Last column: nearest neighbours and their distance in Å.
Fractional coordinates of all 8 atoms:
Ho1 0.2500 0.2500 0.1692  4 H 2.27
Ho2 0.7500 0.7500 0.8308  4 H 2.27
Mn1 0.2500 0.7500 0.5000  4 P 2.31
Mn2 0.7500 0.2500 0.5000  4 P 2.31
P1 0.2500 0.2500 0.6766  4 Mn 2.31
P2 0.7500 0.7500 0.3234  4 Mn 2.31
H1 0.2500 0.7500 0.0000  4 Ho 2.27
H2 0.7500 0.2500 0.0000  4 Ho 2.27


No. 2
DFT (PBE-GGA) results for a relaxed HoMoH3 crystal.

## Properties
total magnetization = 0.0 μB/cell
electronic total energy = -27.0 eV/cell
SG = Pm-3m (221)

Cell: 3.6727 3.6727 3.6727 Å, 90.00 90.00 90.00°
Last column: nearest neighbours and their distance in Å.
Fractional coordinates of all 5 atoms:
Ho1 0.0000 0.0000 0.0000  12 H 2.60
Mo1 0.5000 0.5000 0.5000  6 H 1.84
H1 0.0000 0.5000 0.5000  2 Mo 1.84
H2 0.5000 0.0000 0.5000  2 Mo 1.84
H3 0.5000 0.5000 0.0000  2 Mo 1.84